Entry 1:
# Hf2ZrMnCu, optimized geometry, DFT GGA-PBE
# ΔE_f	77	kJ/mol of atoms
# total DFT energy (no corrections)	-0.2773	hartree per atom
data_Hf2ZrMnCu
_chemical_formula_sum 'Hf2 Zr1 Mn1 Cu1'
_space_group_name_H-M_alt 'P 4/m m m'
_space_group_IT_number 123
_space_group_name_Hall '-P 4 2'
_cell_length_a 4.848
_cell_length_b 4.848
_cell_length_c 4.351
_cell_angle_alpha 90.00
_cell_angle_beta 90.00
_cell_angle_gamma 90.00
loop_
_atom_site_label
_atom_site_fract_x
_atom_site_fract_y
_atom_site_fract_z
Hf1 0.000 0.500 0.000
Zr1 0.000 0.000 0.500
Mn1 0.500 0.500 0.500
Cu1 0.500 0.500 0.000

---

Entry 2:
# NaCaIn3, optimized geometry, DFT GGA-PBE
# ΔE_f	21	kJ/mol of atoms
# total DFT energy (no corrections)	-0.0767	hartree per atom
data_NaCaIn3
_chemical_formula_sum 'Na1 Ca1 In3'
_space_group_name_H-M_alt 'P m -3 m'
_space_group_IT_number 221
_space_group_name_Hall '-P 4 2 3'
_cell_length_a 5.438
_cell_length_b 5.438
_cell_length_c 5.438
_cell_angle_alpha 90.00
_cell_angle_beta 90.00
_cell_angle_gamma 90.00
loop_
_atom_site_label
_atom_site_fract_x
_atom_site_fract_y
_atom_site_fract_z
Na1 0.000 0.000 0.000
Ca1 0.500 0.500 0.500
In1 0.000 0.000 0.500

---

Entry 3:
# KSe3, optimized geometry, DFT GGA-PBE
# ΔE_f (raw)	-0.364	eV per atom
# total DFT energy (no corrections)	-0.1195	hartree per atom
data_KSe3
_chemical_formula_sum 'K2 Se6'
_space_group_name_H-M_alt 'I m m m'
_space_group_IT_number 71
_space_group_name_Hall '-I 2 2'
_cell_length_a 3.807
_cell_length_b 6.145
_cell_length_c 9.552
_cell_angle_alpha 90.00
_cell_angle_beta 90.00
_cell_angle_gamma 90.00
loop_
_atom_site_label
_atom_site_fract_x
_atom_site_fract_y
_atom_site_fract_z
K1 0.000 0.000 0.000
Se1 0.000 0.000 0.500
Se2 0.000 0.500 0.190

---

Entry 4:
# CsMoBr3, optimized geometry, DFT GGA-PBE
# ΔE_f (raw)	-0.728	eV per atom
# total DFT energy (no corrections)	-0.1495	hartree per atom
data_CsMoBr3
_chemical_formula_sum 'Cs1 Mo1 Br3'
_space_group_name_H-M_alt 'P m -3 m'
_space_group_IT_number 221
_space_group_name_Hall '-P 4 2 3'
_cell_length_a 5.511
_cell_length_b 5.511
_cell_length_c 5.511
_cell_angle_alpha 90.00
_cell_angle_beta 90.00
_cell_angle_gamma 90.00
loop_
_atom_site_label
_atom_site_fract_x
_atom_site_fract_y
_atom_site_fract_z
Cs1 0.000 0.000 0.000
Mo1 0.500 0.500 0.500
Br1 0.000 0.500 0.500

---

Entry 5:
# BeOsRu, optimized geometry, DFT GGA-PBE
# ΔE_f	-2	kJ/mol of atoms
# total DFT energy (no corrections)	-0.2978	hartree per atom
data_BeOsRu
_chemical_formula_sum 'Be4 Os4 Ru4'
_space_group_name_H-M_alt 'C 1 2 1'
_space_group_IT_number 5
_space_group_name_Hall 'C 2y'
_cell_length_a 7.709
_cell_length_b 4.574
_cell_length_c 5.160
_cell_angle_alpha 90.00
_cell_angle_beta 124.07
_cell_angle_gamma 90.00
loop_
_atom_site_label
_atom_site_fract_x
_atom_site_fract_y
_atom_site_fract_z
Be1 0.000 0.000 0.000
Be2 0.000 0.191 0.500
Os1 0.172 0.505 0.000
Ru1 0.172 0.683 0.498

---

Entry 6:
# KTmRuO6, optimized geometry, DFT GGA-PBE
# ΔE_f (raw)	-1.536	eV per atom
# total DFT energy (no corrections)	-0.2385	hartree per atom
data_KTmRuO6
_chemical_formula_sum 'K1 Tm1 Ru1 O6'
_space_group_name_H-M_alt 'P 3 1 2'
_space_group_IT_number 149
_space_group_name_Hall 'P 3 2'
_cell_length_a 5.5518
_cell_length_b 5.5518
_cell_length_c 5.8319
_cell_angle_alpha 90.00
_cell_angle_beta 90.00
_cell_angle_gamma 120.00
loop_
_atom_site_label
_atom_site_fract_x
_atom_site_fract_y
_atom_site_fract_z
K1 0.0000 0.0000 0.0000
Tm1 0.3333 0.6667 0.5000
Ru1 0.6667 0.3333 0.5000
O1 0.4060 0.0427 0.6874

---

Entry 7:
# Cs2RbInBr6, optimized geometry, DFT GGA-PBE
# ΔE_f (raw)	-1.408	eV per atom
# total DFT energy (no corrections)	-0.1085	hartree per atom
data_Cs2RbInBr6
_chemical_formula_sum 'Cs8 Rb4 In4 Br24'
_space_group_name_H-M_alt 'F m -3 m'
_space_group_IT_number 225
_space_group_name_Hall '-F 4 2 3'
_cell_length_a 11.955
_cell_length_b 11.955
_cell_length_c 11.955
_cell_angle_alpha 90.00
_cell_angle_beta 90.00
_cell_angle_gamma 90.00
loop_
_atom_site_label
_atom_site_fract_x
_atom_site_fract_y
_atom_site_fract_z
Cs1 0.250 0.250 0.250
Rb1 0.000 0.000 0.000
In1 0.000 0.000 0.500
Br1 0.000 0.000 0.273

---

Entry 8:
# Na2NpMoN4, optimized geometry, DFT GGA-PBE
# ΔE_f (raw)	-0.579	eV per atom
# total DFT energy (no corrections)	-0.2956	hartree per atom
data_Na2NpMoN4
_chemical_formula_sum 'Na2 Np1 Mo1 N4'
_space_group_name_H-M_alt 'P 1 2/m 1'
_space_group_IT_number 10
_space_group_name_Hall '-P 2y'
_cell_length_a 5.574
_cell_length_b 3.269
_cell_length_c 5.976
_cell_angle_alpha 90.00
_cell_angle_beta 107.52
_cell_angle_gamma 90.00
loop_
_atom_site_label
_atom_site_fract_x
_atom_site_fract_y
_atom_site_fract_z
Na1 0.000 0.000 0.000
Na2 0.500 0.500 0.000
Np1 0.000 0.500 0.500
Mo1 0.500 0.000 0.500
N1 0.243 0.000 0.693
N2 0.272 0.500 0.309

---

Entry 9:
# AlAs2SBr, optimized geometry, DFT GGA-PBE
# ΔE_f (raw)	0.688	eV per atom
# total DFT energy (no corrections)	-0.1132	hartree per atom
data_AlAs2SBr
_chemical_formula_sum 'Al1 As2 S1 Br1'
_space_group_name_H-M_alt 'P 4/m m m'
_space_group_IT_number 123
_space_group_name_Hall '-P 4 2'
_cell_length_a 4.865
_cell_length_b 4.865
_cell_length_c 5.265
_cell_angle_alpha 90.00
_cell_angle_beta 90.00
_cell_angle_gamma 90.00
loop_
_atom_site_label
_atom_site_fract_x
_atom_site_fract_y
_atom_site_fract_z
Al1 0.000 0.000 0.000
As1 0.000 0.500 0.500
S1 0.500 0.500 0.500
Br1 0.500 0.500 0.000

---

Entry 10:
# ScPbW3, optimized geometry, DFT GGA-PBE
# ΔE_f	229	kJ/mol of atoms
# total DFT energy (no corrections)	-0.2722	hartree per atom
data_ScPbW3
_chemical_formula_sum 'Sc1 Pb1 W3'
_space_group_name_H-M_alt 'P m -3 m'
_space_group_IT_number 221
_space_group_name_Hall '-P 4 2 3'
_cell_length_a 4.735
_cell_length_b 4.735
_cell_length_c 4.735
_cell_angle_alpha 90.00
_cell_angle_beta 90.00
_cell_angle_gamma 90.00
loop_
_atom_site_label
_atom_site_fract_x
_atom_site_fract_y
_atom_site_fract_z
Sc1 0.000 0.000 0.000
Pb1 0.500 0.500 0.500
W1 0.000 0.000 0.500

---

Entry 11:
# HfAg3, optimized geometry, DFT GGA-PBE
# ΔE_f	5	kJ/mol of atoms
# total DFT energy (no corrections)	-0.1683	hartree per atom
data_HfAg3
_chemical_formula_sum 'Hf2 Ag6'
_space_group_name_H-M_alt 'I 4/m m m'
_space_group_IT_number 139
_space_group_name_Hall '-I 4 2'
_cell_length_a 4.317
_cell_length_b 4.317
_cell_length_c 7.936
_cell_angle_alpha 90.00
_cell_angle_beta 90.00
_cell_angle_gamma 90.00
loop_
_atom_site_label
_atom_site_fract_x
_atom_site_fract_y
_atom_site_fract_z
Hf1 0.000 0.000 0.000
Ag1 0.000 0.000 0.500
Ag2 0.000 0.500 0.250

---

Entry 12:
# ReOs3, optimized geometry, DFT GGA-PBE
# ΔE_f	10	kJ/mol of atoms
# total DFT energy (no corrections)	-0.4200	hartree per atom
data_ReOs3
_chemical_formula_sum 'Re2 Os6'
_space_group_name_H-M_alt 'P 4/n m m'
_space_group_IT_number 129
_cell_length_a 2.738
_cell_length_b 2.738
_cell_length_c 15.502
_cell_angle_alpha 90.00
_cell_angle_beta 90.00
_cell_angle_gamma 90.00
loop_
_space_group_symop_operation_xyz
'x,y,z'
'-x,-y,-z'
'-y+1/2,x,z'
'y+1/2,-x,-z'
'-x+1/2,-y+1/2,z'
'x+1/2,y+1/2,-z'
'y,-x+1/2,z'
'-y,x+1/2,-z'
'x+1/2,-y,-z'
'-x+1/2,y,z'
'-y,-x,-z'
'y,x,z'
'-x,y+1/2,-z'
'x,-y+1/2,z'
'y+1/2,x+1/2,-z'
'-y+1/2,-x+1/2,z'
loop_
_atom_site_label
_atom_site_fract_x
_atom_site_fract_y
_atom_site_fract_z
Re1 0.250 0.250 0.067
Os1 0.250 0.250 0.316
Os2 0.250 0.250 0.563
Os3 0.250 0.250 0.812

---

Entry 13:
# Sm2Ge5Ir3, optimized geometry, DFT GGA-PBE
# ΔE_f	-66	kJ/mol of atoms
# total DFT energy (no corrections)	-0.2423	hartree per atom
data_Sm2Ge5Ir3
_chemical_formula_sum 'Sm8 Ge20 Ir12'
_space_group_name_H-M_alt 'C m c 21'
_space_group_IT_number 36
_space_group_name_Hall 'C 2c -2'
_cell_length_a 4.269
_cell_length_b 24.984
_cell_length_c 6.928
_cell_angle_alpha 90.00
_cell_angle_beta 90.00
_cell_angle_gamma 90.00
loop_
_atom_site_label
_atom_site_fract_x
_atom_site_fract_y
_atom_site_fract_z
Sm1 0.000 0.021 0.000
Sm2 0.000 0.324 0.003
Ge1 0.000 0.100 0.638
Ge2 0.000 0.206 0.203
Ge3 0.000 0.209 0.783
Ge4 0.000 0.381 0.523
Ge5 0.000 0.451 0.838
Ir1 0.000 0.107 0.270
Ir2 0.000 0.279 0.492
Ir3 0.000 0.445 0.218

---

Entry 14:
# TaSbCl2, optimized geometry, DFT GGA-PBE
# ΔE_f (raw)	-0.600	eV per atom
# total DFT energy (no corrections)	-0.2027	hartree per atom
data_TaSbCl2
_chemical_formula_sum 'Ta2 Sb2 Cl4'
_space_group_name_H-M_alt 'C 1 m 1'
_space_group_IT_number 8
_space_group_name_Hall 'C -2y'
_cell_length_a 13.852
_cell_length_b 3.066
_cell_length_c 7.128
_cell_angle_alpha 90.00
_cell_angle_beta 116.32
_cell_angle_gamma 90.00
loop_
_atom_site_label
_atom_site_fract_x
_atom_site_fract_y
_atom_site_fract_z
Ta1 0.000 0.000 0.000
Sb1 0.161 0.500 0.321
Cl1 0.007 0.500 0.738
Cl2 0.362 0.000 0.001

---

Entry 15:
# La12SmTh7, optimized geometry, DFT GGA-PBE
# ΔE_f	75	kJ/mol of atoms
# total DFT energy (no corrections)	-0.1842	hartree per atom
data_La12SmTh7
_chemical_formula_sum 'La24 Sm2 Th14'
_space_group_name_H-M_alt 'I m -3'
_space_group_IT_number 204
_space_group_name_Hall '-I 2 2 3'
_cell_length_a 11.740
_cell_length_b 11.740
_cell_length_c 11.740
_cell_angle_alpha 90.00
_cell_angle_beta 90.00
_cell_angle_gamma 90.00
loop_
_atom_site_label
_atom_site_fract_x
_atom_site_fract_y
_atom_site_fract_z
La1 0.000 0.310 0.220
Sm1 0.000 0.000 0.000
Th1 0.000 0.000 0.500
Th2 0.250 0.250 0.250

---

Entry 16:
# Ca2Tb3Nd8, optimized geometry, DFT GGA-PBE
# ΔE_f	18	kJ/mol of atoms
# total DFT energy (no corrections)	-0.1514	hartree per atom
data_Ca2Tb3Nd8
_chemical_formula_sum 'Ca4 Tb6 Nd16'
_space_group_name_H-M_alt 'C 1 2/m 1'
_space_group_IT_number 12
_space_group_name_Hall '-C 2y'
_cell_length_a 18.517
_cell_length_b 7.931
_cell_length_c 6.484
_cell_angle_alpha 90.00
_cell_angle_beta 102.65
_cell_angle_gamma 90.00
loop_
_atom_site_label
_atom_site_fract_x
_atom_site_fract_y
_atom_site_fract_z
Ca1 0.152 0.000 0.274
Tb1 0.000 0.303 0.000
Tb2 0.000 0.500 0.500
Nd1 0.044 0.000 0.717
Nd2 0.171 0.500 0.281
Nd3 0.174 0.281 0.780